[1]
Compound: NaZnSi3
Source: Alexandria
Functional: PBE
Structure: relaxed

Summary:
Space group ... Pm-3m
Energy relative to the elements, uncorrected ... 1533 meV/atom
E above lowest polymorph ... 0.7613 eV per atom
Density of states at the Fermi level ... 5.02 states/eV/cell
Electronic total energy ... -2.239 eV per atom

Cell lengths 4.9583, 4.9583, 4.9583 Å; angles 90.00, 90.00, 90.00 degrees
Sites, in units of the cell vectors:
Na 0.0000 0.0000 0.0000
Zn 0.5000 0.5000 0.5000
Si 0.0000 0.0000 0.5000
Si 0.0000 0.5000 0.0000
Si 0.5000 0.0000 0.0000

***

[2]
Compound: NaZnSi
Source: Alexandria
Functional: PBE
Structure: relaxed

Summary:
Space group ... C2/m
Energy relative to the elements, uncorrected ... 79 meV/atom
E above lowest polymorph ... 0.0197 eV per atom
Density of states at the Fermi level ... 2.14 states/eV/cell
Electronic total energy ... -2.593 eV per atom

Cell lengths 6.7682, 12.3668, 3.2150 Å; angles 90.00, 117.66, 90.00 degrees
Sites, in units of the cell vectors:
Na 0.0000 0.1933 0.0000
Na 0.0000 0.8067 0.0000
Na 0.5000 0.3067 0.0000
Na 0.5000 0.6933 0.0000
Zn 0.2082 0.0000 0.7089
Zn 0.2918 0.5000 0.2911
Zn 0.7082 0.5000 0.7089
Zn 0.7918 0.0000 0.2911
Si 0.0000 0.4008 0.5000
Si 0.0000 0.5992 0.5000
Si 0.5000 0.0992 0.5000
Si 0.5000 0.9008 0.5000

***

[3]
Compound: NaZnSi
Source: Alexandria
Functional: PBE
Structure: relaxed

Summary:
Space group ... I4/mmm
Energy relative to the elements, uncorrected ... 83 meV/atom
E above lowest polymorph ... 0.0244 eV per atom
Density of states at the Fermi level ... 5.31 states/eV/cell
Electronic total energy ... -2.589 eV per atom

Cell lengths 4.0766, 4.0766, 14.5877 Å; angles 90.00, 90.00, 90.00 degrees
Sites, in units of the cell vectors:
Na 0.0000 0.0000 0.1766
Na 0.0000 0.0000 0.8234
Na 0.5000 0.5000 0.3234
Na 0.5000 0.5000 0.6766
Zn 0.0000 0.5000 0.0000
Zn 0.0000 0.5000 0.5000
Zn 0.5000 0.0000 0.0000
Zn 0.5000 0.0000 0.5000
Si 0.0000 0.0000 0.3962
Si 0.0000 0.0000 0.6038
Si 0.5000 0.5000 0.1038
Si 0.5000 0.5000 0.8962

***

[4]
Compound: NaZn3Si
Source: Alexandria
Functional: PBE
Structure: relaxed

Summary:
Space group ... Pm-3m
Energy relative to the elements, uncorrected ... 289 meV/atom
E above lowest polymorph ... 0.0000 eV per atom
Density of states at the Fermi level ... 2.50 states/eV/cell
Electronic total energy ... -1.824 eV per atom

Cell lengths 4.8807, 4.8807, 4.8807 Å; angles 90.00, 90.00, 90.00 degrees
Sites, in units of the cell vectors:
Na 0.0000 0.0000 0.0000
Zn 0.0000 0.5000 0.5000
Zn 0.5000 0.0000 0.5000
Zn 0.5000 0.5000 0.0000
Si 0.5000 0.5000 0.5000

***

Q: Look up the density of states at the Fermi level of the second one.
A: 2.14 states/eV/cell